A relaxed structure of Y2Al2Co. Source: OQMD via LeMat-Bulk, functional GGA-PBE.

a = 4.8315 Å, b = 4.8315 Å, c = 9.6893 Å
α = 90.00°, β = 90.00°, γ = 93.62°
Positions (direct):
Co1 0.0785 0.9215 0.8892
Co2 0.9215 0.0785 0.3892
Al1 0.5686 0.0395 0.8882
Al2 0.9605 0.4314 0.8882
Al3 0.0395 0.5686 0.3882
Al4 0.4314 0.9605 0.3882
Y1 0.7554 0.7551 0.6382
Y2 0.2449 0.2446 0.6382
Y3 0.2446 0.2449 0.1382
Y4 0.7551 0.7554 0.1382

Properties
**V**: 226 Å³ per cell
**Energy**: -55.0 eV for the cell shown